# BaSrInBiO6 (PBE, relaxed)
# N(E_F), states/eV/f.u.: 2.46
# Magnetization, μB/f.u.: 0.00
# Uncorrected formation energy, eV per atom: -1.839
# Volume, Å³/cell: 620.19
data_BaSrInBiO6
_cell_length_a 8.528
_cell_length_b 8.528
_cell_length_c 8.528
_cell_angle_alpha 90.00
_cell_angle_beta 90.00
_cell_angle_gamma 90.00
_space_group_name_H-M_alt 'F -4 3 m'
_space_group_IT_number 216
_space_group_name_Hall 'F -4 2 3'
loop_
_atom_site_label
_atom_site_type_symbol
_atom_site_fract_x
_atom_site_fract_y
_atom_site_fract_z
_atom_site_occupancy
Ba1 Ba 0.000 0.000 0.000 1
Sr1 Sr 0.000 0.000 0.500 1
In1 In 0.250 0.250 0.750 1
Bi1 Bi 0.250 0.250 0.250 1
O1 O 0.002 0.250 0.250 1

---

# BaIn2BiPb (PBE, relaxed)
# N(E_F), states/eV/f.u.: 2.81
# Energy relative to the elements, eV/atom: -0.299
# Magnetization, μB/f.u.: 0.00
# Volume, Å³/cell: 354.52
data_BaIn2BiPb
_cell_length_a 4.677
_cell_length_b 5.453
_cell_length_c 13.902
_cell_angle_alpha 90.00
_cell_angle_beta 90.00
_cell_angle_gamma 90.00
_space_group_name_H-M_alt 'I m m 2'
_space_group_IT_number 44
loop_
_space_group_symop_operation_xyz
'x,y,z'
'-x,-y,z'
'-x,y,z'
'x,-y,z'
'x+1/2,y+1/2,z+1/2'
'-x+1/2,-y+1/2,z+1/2'
'-x+1/2,y+1/2,z+1/2'
'x+1/2,-y+1/2,z+1/2'
loop_
_atom_site_label
_atom_site_type_symbol
_atom_site_fract_x
_atom_site_fract_y
_atom_site_fract_z
_atom_site_occupancy
Ba1 Ba 0.000 0.000 0.000 1
In1 In 0.000 0.000 0.634 1
In2 In 0.000 0.500 0.276 1
Bi1 Bi 0.000 0.000 0.415 1
Pb1 Pb 0.000 0.500 0.748 1

---

# Ba2InBi6Pb (PBE, relaxed)
# N(E_F), states/eV/f.u.: 10.13
# Energy relative to the elements, eV/atom: 0.051
# Magnetization, μB/f.u.: 0.00
# Volume, Å³/cell: 1665.03
data_Ba2InBi6Pb
_cell_length_a 11.852
_cell_length_b 11.852
_cell_length_c 11.852
_cell_angle_alpha 90.00
_cell_angle_beta 90.00
_cell_angle_gamma 90.00
_space_group_name_H-M_alt 'F m -3 m'
_space_group_IT_number 225
_space_group_name_Hall '-F 4 2 3'
loop_
_atom_site_label
_atom_site_type_symbol
_atom_site_fract_x
_atom_site_fract_y
_atom_site_fract_z
_atom_site_occupancy
Ba1 Ba 0.250 0.250 0.250 1
In1 In 0.000 0.000 0.000 1
Bi1 Bi 0.000 0.000 0.244 1
Pb1 Pb 0.000 0.000 0.500 1

---

# BaInBiPb2 (PBE, relaxed)
# N(E_F), states/eV/f.u.: 2.58
# Energy relative to the elements, eV/atom: -0.295
# Magnetization, μB/f.u.: 0.00
# Volume, Å³/cell: 704.48
data_BaInBiPb2
_cell_length_a 4.829
_cell_length_b 12.332
_cell_length_c 11.830
_cell_angle_alpha 90.00
_cell_angle_beta 90.00
_cell_angle_gamma 90.00
_space_group_name_H-M_alt 'C m c m'
_space_group_IT_number 63
_space_group_name_Hall '-C 2c 2'
loop_
_atom_site_label
_atom_site_type_symbol
_atom_site_fract_x
_atom_site_fract_y
_atom_site_fract_z
_atom_site_occupancy
Ba1 Ba 0.000 0.100 0.250 1
In1 In 0.000 0.500 0.000 1
Bi1 Bi 0.000 0.384 0.250 1
Pb1 Pb 0.000 0.189 0.571 1

---

Please write out number 4 again, unchanged.
# BaInBiPb2 (PBE, relaxed)
# N(E_F), states/eV/f.u.: 2.58
# Energy relative to the elements, eV/atom: -0.295
# Magnetization, μB/f.u.: 0.00
# Volume, Å³/cell: 704.48
data_BaInBiPb2
_cell_length_a 4.829
_cell_length_b 12.332
_cell_length_c 11.830
_cell_angle_alpha 90.00
_cell_angle_beta 90.00
_cell_angle_gamma 90.00
_space_group_name_H-M_alt 'C m c m'
_space_group_IT_number 63
_space_group_name_Hall '-C 2c 2'
loop_
_atom_site_label
_atom_site_type_symbol
_atom_site_fract_x
_atom_site_fract_y
_atom_site_fract_z
_atom_site_occupancy
Ba1 Ba 0.000 0.100 0.250 1
In1 In 0.000 0.500 0.000 1
Bi1 Bi 0.000 0.384 0.250 1
Pb1 Pb 0.000 0.189 0.571 1

---

Among the records above, which one has the highest volume? Ba2InBi6Pb